The following is a PBE+U calculation of a geometry-optimized Na2NiCSO7 structure, from the Alexandria database.

Values from the calculation:
energy: -72.1 eV per formula unit
calculated volume: 315 Å³ per cell

abc: 5.252 6.676 9.002
angles: 90.00 92.05 90.00
Fractional coordinates of all 24 atoms:
Na: 0.231 0.002 0.286
Na: 0.231 0.498 0.286
Na: 0.769 0.502 0.714
Na: 0.769 0.998 0.714
Ni: 0.222 0.750 0.855
Ni: 0.778 0.250 0.145
C: 0.279 0.750 0.585
C: 0.721 0.250 0.415
S: 0.276 0.250 0.923
S: 0.724 0.750 0.077
O: 0.053 0.750 0.643
O: 0.158 0.250 0.072
O: 0.194 0.070 0.837
O: 0.194 0.430 0.837
O: 0.312 0.750 0.447
O: 0.438 0.750 0.055
O: 0.469 0.750 0.685
O: 0.531 0.250 0.315
O: 0.562 0.250 0.945
O: 0.688 0.250 0.553
O: 0.806 0.570 0.163
O: 0.806 0.930 0.163
O: 0.842 0.750 0.928
O: 0.947 0.250 0.357